1.
Entry from Alexandria: a relaxed Li6Tm4Pt7 crystal (PBE).

Structure (extended XYZ):
```
17
Lattice="6.804 0.000 -2.406 -3.402 5.893 -2.406 0.000 0.000 7.217" Properties=species:S:1:pos:R:3 pbc="T T T"
Tm 1.701 2.946 1.203
Li -1.060 1.836 1.499
Pt 0.000 0.000 0.000
Pt 3.402 2.946 -1.203
Pt 0.000 2.946 3.609
Li 2.121 0.000 1.499
Pt 4.253 1.473 1.203
Pt 2.552 1.473 3.609
Pt 0.851 4.420 -1.203
Tm 0.000 0.000 3.609
Li 2.342 4.056 -3.312
Tm 3.402 0.000 -1.203
Li -2.342 4.056 3.312
Li 1.060 1.836 -1.499
Tm -1.701 2.946 -1.203
Li 4.684 0.000 3.312
Pt -0.851 4.420 1.203
```

Magnetic moment = 0.00 μB per atom
Total DFT energy (no corrections) = -4.9893 eV per atom
Energy relative to the elements = -0.774 eV/atom


2.
Entry from Alexandria: a relaxed LiTm3Pt2 crystal (PBE).

Structure (extended XYZ):
```
12
Lattice="4.884 0.000 0.000 -2.442 4.230 0.000 0.000 0.000 12.166" Properties=species:S:1:pos:R:3 pbc="T T T"
Tm 0.000 2.820 11.233
Tm 0.000 0.000 2.954
Li 0.000 2.820 8.151
Tm 2.442 1.410 0.934
Tm 0.000 0.000 9.212
Pt 2.442 1.410 9.855
Li 2.442 1.410 4.016
Pt 0.000 2.820 2.311
Pt 0.000 0.000 0.000
Tm 0.000 2.820 5.104
Pt 0.000 0.000 6.083
Tm 2.442 1.410 7.062
```

Magnetic moment = 0.00 μB per atom
Total DFT energy (no corrections) = -5.5112 eV per atom
Energy relative to the elements = -0.943 eV/atom


3.
Entry from Alexandria: a relaxed Li2TmPt crystal (PBE).

Structure (extended XYZ):
```
4
Lattice="3.881 0.757 0.000 -0.923 3.841 0.000 0.000 0.000 5.077" Properties=species:S:1:pos:R:3 pbc="T T T"
Pt 0.278 3.070 2.538
Li -0.697 3.695 0.000
Li 1.254 2.446 0.000
Tm 2.680 1.528 2.538
```

Magnetic moment = 0.00 μB per atom
Total DFT energy (no corrections) = -4.0904 eV per atom
Energy relative to the elements = -0.505 eV/atom
Offset from the most stable computed form = 0 meV per atom


4.
Entry from Alexandria: a relaxed LiTm4Pt3 crystal (PBE).

Structure (extended XYZ):
```
8
Lattice="4.754 0.002 -1.284 -0.340 4.747 -1.265 -0.479 -0.547 7.676" Properties=species:S:1:pos:R:3 pbc="T T T"
Tm 2.647 2.840 0.353
Tm 0.440 0.465 1.628
Tm 3.495 3.736 3.498
Pt 0.761 3.356 2.816
Pt 3.174 0.845 2.311
Pt -0.170 2.374 -0.633
Li 2.377 0.001 -0.642
Tm 1.288 1.361 4.773
```

Magnetic moment = 0.00 μB per atom
Total DFT energy (no corrections) = -5.7795 eV per atom
Energy relative to the elements = -1.039 eV/atom


5.
Entry from Alexandria: a relaxed Li2TmPt crystal (PBE).

Structure (extended XYZ):
```
4
Lattice="-0.194 -4.207 -1.663 1.499 -0.851 -4.188 3.819 -2.377 -0.599" Properties=species:S:1:pos:R:3 pbc="T T T"
Pt 2.562 -3.717 -3.225
Tm 0.000 0.000 0.000
Li 1.285 -1.859 -1.611
Li 3.839 -5.575 -4.839
```

Magnetic moment = 0.00 μB per atom
Total DFT energy (no corrections) = -3.9951 eV per atom
Energy relative to the elements = -0.410 eV/atom
Offset from the most stable computed form = 95 meV per atom


6.
Entry from Alexandria: a relaxed LiTmPt crystal (PBE).

Structure (extended XYZ):
```
3
Lattice="4.551 0.000 0.000 2.276 3.942 0.000 2.276 1.314 3.716" Properties=species:S:1:pos:R:3 pbc="T T T"
Li 4.551 2.628 1.858
Tm 0.000 0.000 0.000
Pt 2.276 1.314 0.929
```

Magnetic moment = 0.00 μB per atom
Total DFT energy (no corrections) = -4.9062 eV per atom
Energy relative to the elements = -0.764 eV/atom
Offset from the most stable computed form = 94 meV per atom


7.
Entry from Alexandria: a relaxed LiTm2Pt4 crystal (PBE).

Structure (extended XYZ):
```
14
Lattice="-4.496 2.994 6.255 -0.385 -5.294 2.257 4.931 3.567 1.837" Properties=species:S:1:pos:R:3 pbc="T T T"
Tm -0.881 1.762 3.983
Li -2.440 -1.150 4.256
Pt 1.149 -0.115 3.611
Pt -1.413 -3.222 3.257
Pt -1.220 -0.575 2.128
Tm 1.174 -2.382 1.984
Tm 0.932 -0.495 6.366
Pt -3.661 -1.724 6.384
Pt -3.468 0.922 5.255
Pt -1.291 -1.265 7.867
Li 0.000 0.000 0.000
Pt -1.099 1.382 6.738
Tm 3.372 0.654 2.111
Pt 1.342 2.532 2.482
```

Magnetic moment = 0.00 μB per atom
Total DFT energy (no corrections) = -5.8798 eV per atom
Energy relative to the elements = -0.877 eV/atom


8.
Entry from Alexandria: a relaxed Li2TmPt3 crystal (PBE).

Structure (extended XYZ):
```
6
Lattice="-1.804 3.383 -2.270 -2.588 -2.660 2.465 0.746 3.338 4.384" Properties=species:S:1:pos:R:3 pbc="T T T"
Li -1.818 2.477 0.764
Pt -1.472 4.025 2.796
Li -1.829 1.585 3.816
Pt 0.373 1.669 2.192
Tm 0.000 0.000 0.000
Pt -2.174 0.037 1.784
```

Magnetic moment = 0.00 μB per atom
Total DFT energy (no corrections) = -5.2085 eV per atom
Energy relative to the elements = -0.805 eV/atom
Offset from the most stable computed form = 31 meV per atom


9.
Entry from Alexandria: a relaxed LiTm4Pt5 crystal (PBE).

Structure (extended XYZ):
```
10
Lattice="-0.940 2.328 2.316 -2.550 -2.036 1.011 9.956 -6.980 11.055" Properties=species:S:1:pos:R:3 pbc="T T T"
Tm 8.168 -5.726 9.069
Pt -0.902 -0.445 2.600
Pt 5.348 -4.826 9.539
Pt 7.369 -6.243 11.783
Pt 1.118 -1.861 4.843
Li 0.000 0.000 0.000
Pt 3.233 -3.344 7.191
Tm 1.788 -1.254 1.986
Tm 3.916 -2.746 4.349
Tm 6.040 -4.234 6.706
```

Magnetic moment = 0.00 μB per atom
Total DFT energy (no corrections) = -6.1800 eV per atom
Energy relative to the elements = -1.180 eV/atom


10.
Entry from Alexandria: a relaxed LiTmPt crystal (PBE).

Structure (extended XYZ):
```
3
Lattice="3.583 0.000 0.000 0.000 3.583 0.000 -1.791 -1.791 4.421" Properties=species:S:1:pos:R:3 pbc="T T T"
Pt 1.791 1.791 3.979
Tm 1.791 1.791 0.916
Li 0.000 0.000 2.621
```

Magnetic moment = 0.00 μB per atom
Total DFT energy (no corrections) = -4.9051 eV per atom
Energy relative to the elements = -0.763 eV/atom
Offset from the most stable computed form = 95 meV per atom


11.
Entry from Alexandria: a relaxed Li2Tm3Pt3 crystal (PBE).

Structure (extended XYZ):
```
16
Lattice="-5.367 -0.365 -1.047 1.498 1.175 -8.089 -0.089 -7.695 3.135" Properties=species:S:1:pos:R:3 pbc="T T T"
Tm -4.050 -2.390 0.077
Pt -0.770 0.357 -3.347
Li 0.969 -1.782 -4.348
Pt -3.488 -2.761 -2.675
Li -2.244 -4.921 -1.130
Tm -0.954 -1.884 -1.624
Tm -1.406 -5.670 2.011
Pt -1.376 -3.027 0.934
Li -1.715 -1.964 -4.871
Tm -3.614 0.050 -3.010
Tm -3.004 -5.001 -4.377
Pt -4.080 -5.033 1.154
Pt -0.470 -4.125 -3.326
Tm -0.256 0.760 -6.126
Li 0.440 -4.739 -0.607
Pt -3.099 0.453 -5.788
```

Magnetic moment = 0.00 μB per atom
Total DFT energy (no corrections) = -5.4023 eV per atom
Energy relative to the elements = -0.982 eV/atom


12.
Entry from Alexandria: a relaxed LiTmPt crystal (PBE).

Structure (extended XYZ):
```
6
Lattice="4.934 -0.001 0.000 -2.467 4.273 0.000 0.000 0.000 5.633" Properties=species:S:1:pos:R:3 pbc="T T T"
Li -1.234 2.137 0.000
Pt 1.234 0.711 1.408
Tm 1.233 0.712 4.225
Tm 1.234 3.560 1.408
Pt 1.233 3.561 4.225
Li -1.234 2.137 2.816
```

Magnetic moment = 0.00 μB per atom
Total DFT energy (no corrections) = -5.0000 eV per atom
Energy relative to the elements = -0.858 eV/atom
Offset from the most stable computed form = 0 meV per atom